Computed, not measured: a relaxed RbCu3GeSe4 crystal at the PBE-GGA level of DFT.

Results
The energy above the lowest structure with this stoichiometry comes out at 0.0 kJ per mole of atoms.

Cell lengths 5.805, 7.735, 10.298 Å; angles 90.00, 103.99, 90.00 degrees
Space group P2_1/m (No. 11)
Asymmetric unit:
Rb (0.202, 0.250, 0.374) [2 per cell]
Cu (0.301, 0.564, 0.020) [4 per cell]
Cu (0.401, 0.750, 0.233) [2 per cell]
Ge (0.135, 0.250, 0.781) [2 per cell]
Se (0.041, 0.250, 0.000) [2 per cell]
Se (0.189, 0.750, 0.407) [2 per cell]
Se (0.369, 0.517, 0.791) [4 per cell]

=====

Computed, not measured: a relaxed Er4AsPO crystal at the PBE-GGA level of DFT.

Results
As for the total energy: -6.23 eV/atom.

Cell lengths 4.343, 4.343, 15.342 Å; angles 90.00, 90.00, 90.00 degrees
Space group I4mm (No. 107)
Asymmetric unit:
Er (0.000, 0.000, 0.000) [2 per cell]
Er (0.000, 0.000, 0.358) [2 per cell]
Er (0.000, 0.500, 0.173) [4 per cell]
As (0.000, 0.000, 0.812) [2 per cell]
P (0.000, 0.000, 0.544) [2 per cell]
O (0.000, 0.000, 0.176) [2 per cell]

=====

Computed, not measured: a relaxed SrHgSeO crystal at the PBE-GGA level of DFT.

Results
The energy above the lowest structure with this stoichiometry comes out at 51.7 kJ per mole of atoms.

Cell lengths 4.1949, 4.1949, 12.8343 Å; angles 90.00, 90.00, 120.00 degrees
Space group P6_3mc (No. 186)
Asymmetric unit:
Sr (0.0000, 0.0000, 0.0000) [2 per cell]
Hg (0.3333, 0.6667, 0.2629) [2 per cell]
Se (0.3333, 0.6667, 0.6293) [2 per cell]
O (0.0000, 0.0000, 0.3217) [2 per cell]

=====

Computed, not measured: a relaxed CuH26C20S2Br crystal at the PBE-GGA level of DFT.

Results
As for the total energy: -5.81 eV/atom.

Cell lengths 7.390, 11.847, 12.215 Å; angles 72.66, 75.23, 89.37 degrees
Space group P-1 (No. 2)
Asymmetric unit:
Cu (0.081, 0.092, 0.037) [2 per cell]
H (0.010, 0.641, 0.411) [2 per cell]
H (0.053, 0.289, 0.786) [2 per cell]
H (0.079, 0.229, 0.429) [2 per cell]
H (0.080, 0.032, 0.409) [2 per cell]
H (0.101, 0.679, 0.023) [2 per cell]
H (0.102, 0.544, 0.598) [2 per cell]
H (0.107, 0.555, 0.145) [2 per cell]
H (0.108, 0.759, 0.760) [2 per cell]
H (0.162, 0.548, 0.887) [2 per cell]
H (0.169, 0.425, 0.010) [2 per cell]
H (0.220, 0.412, 0.749) [2 per cell]
H (0.227, 0.869, 0.545) [2 per cell]
H (0.231, 0.433, 0.363) [2 per cell]
H (0.246, 0.768, 0.233) [2 per cell]
H (0.248, 0.997, 0.293) [2 per cell]
H (0.277, 0.139, 0.759) [2 per cell]
H (0.277, 0.838, 0.795) [2 per cell]
H (0.334, 0.066, 0.549) [2 per cell]
H (0.336, 0.299, 0.571) [2 per cell]
H (0.408, 0.802, 0.603) [2 per cell]
H (0.425, 0.168, 0.112) [2 per cell]
H (0.428, 0.629, 0.954) [2 per cell]
H (0.432, 0.572, 0.605) [2 per cell]
H (0.456, 0.101, 0.835) [2 per cell]
H (0.476, 0.506, 0.171) [2 per cell]
H (0.498, 0.001, 0.626) [2 per cell]
C (0.013, 0.605, 0.094) [2 per cell]
C (0.074, 0.475, 0.959) [2 per cell]
C (0.128, 0.342, 0.823) [2 per cell]
C (0.148, 0.062, 0.313) [2 per cell]
C (0.154, 0.653, 0.415) [2 per cell]
C (0.188, 0.260, 0.345) [2 per cell]
C (0.190, 0.844, 0.733) [2 per cell]
C (0.206, 0.598, 0.520) [2 per cell]
C (0.241, 0.184, 0.275) [2 per cell]
C (0.272, 0.375, 0.308) [2 per cell]
C (0.286, 0.724, 0.315) [2 per cell]
C (0.312, 0.874, 0.605) [2 per cell]
C (0.380, 0.226, 0.167) [2 per cell]
C (0.390, 0.176, 0.786) [2 per cell]
C (0.390, 0.614, 0.524) [2 per cell]
C (0.411, 0.416, 0.200) [2 per cell]
C (0.427, 0.993, 0.559) [2 per cell]
C (0.464, 0.341, 0.130) [2 per cell]
C (0.471, 0.743, 0.319) [2 per cell]
C (0.479, 0.313, 0.576) [2 per cell]
S (0.030, 0.954, 0.764) [2 per cell]
S (0.277, 0.243, 0.900) [2 per cell]
Br (0.231, 0.906, 0.017) [2 per cell]

=====

Computed, not measured: a relaxed LuTaInCu crystal at the PBE-GGA level of DFT.

Results
The energy above the lowest structure with this stoichiometry comes out at 0.0 kJ per mole of atoms.

Cell lengths 6.878, 6.878, 6.878 Å; angles 90.00, 90.00, 90.00 degrees
Space group F-43m (No. 216)
Asymmetric unit:
Lu (0.000, 0.000, 0.000) [4 per cell]
Ta (0.250, 0.250, 0.250) [4 per cell]
In (0.000, 0.000, 0.500) [4 per cell]
Cu (0.250, 0.250, 0.750) [4 per cell]

=====

Computed, not measured: a relaxed Li2HoIn crystal at the PBE-GGA level of DFT.

Results
As for the total energy: -2.66 eV/atom.

Cell lengths 3.2231, 3.2231, 11.2695 Å; angles 90.00, 90.00, 120.00 degrees
Space group P-6m2 (No. 187)
Asymmetric unit:
Li (0.0000, 0.0000, 0.2446) [2 per cell]
Ho (0.6667, 0.3333, 0.0000) [1 per cell]
In (0.0000, 0.0000, 0.5000) [1 per cell]

=====

Computed, not measured: a relaxed NaSiAgO3 crystal at the PBE-GGA level of DFT.

Results
As for the total energy: -5.66 eV/atom.

Cell lengths 10.058, 2.809, 9.978 Å; angles 90.00, 90.00, 90.00 degrees
Space group Pnma (No. 62)
Asymmetric unit:
Na (0.226, 0.250, 0.150) [4 per cell]
Si (0.025, 0.250, 0.379) [4 per cell]
Ag (0.048, 0.250, 0.902) [4 per cell]
O (0.088, 0.250, 0.544) [4 per cell]
O (0.088, 0.750, 0.752) [4 per cell]
O (0.118, 0.750, 0.321) [4 per cell]

=====

Computed, not measured: a relaxed LuO4 crystal at the PBE-GGA level of DFT.

Results
As for the total energy: -6.31 eV/atom.

Cell lengths 3.462, 5.790, 5.609 Å; angles 90.00, 112.32, 90.00 degrees
Space group P2/c (No. 13)
Asymmetric unit:
Lu (0.000, 0.198, 0.250) [2 per cell]
O (0.298, 0.469, 0.670) [4 per cell]
O (0.354, 0.102, 0.976) [4 per cell]

=====

Computed, not measured: a relaxed MgNpRe crystal at the PBE-GGA level of DFT.

Results
The energy above the lowest structure with this stoichiometry comes out at 0.0 kJ per mole of atoms.

Cell lengths 6.419, 6.419, 6.419 Å; angles 90.00, 90.00, 90.00 degrees
Space group F-43m (No. 216)
Asymmetric unit:
Mg (0.000, 0.000, 0.000) [4 per cell]
Np (0.000, 0.000, 0.500) [4 per cell]
Re (0.250, 0.250, 0.750) [4 per cell]

=====

Computed, not measured: a relaxed AsPb2Au crystal at the PBE-GGA level of DFT.

Results
As for the total energy: -3.61 eV/atom.

Cell lengths 7.349, 7.349, 7.349 Å; angles 90.00, 90.00, 90.00 degrees
Space group F-43m (No. 216)
Asymmetric unit:
As (0.000, 0.000, 0.000) [4 per cell]
Pb (0.000, 0.000, 0.500) [4 per cell]
Pb (0.250, 0.250, 0.250) [4 per cell]
Au (0.250, 0.250, 0.750) [4 per cell]

=====

Computed, not measured: a relaxed Nb2GeMo crystal at the PBE-GGA level of DFT.

Results
As for the total energy: -8.93 eV/atom.

Cell lengths 6.429, 6.429, 6.429 Å; angles 90.00, 90.00, 90.00 degrees
Space group F-43m (No. 216)
Asymmetric unit:
Nb (0.000, 0.000, 0.000) [4 per cell]
Nb (0.250, 0.250, 0.250) [4 per cell]
Ge (0.000, 0.000, 0.500) [4 per cell]
Mo (0.250, 0.250, 0.750) [4 per cell]

=====

Computed, not measured: a relaxed POs crystal at the PBE-GGA level of DFT.

Results
As for the total energy: -8.34 eV/atom.

Cell lengths 5.233, 5.233, 5.233 Å; angles 90.00, 90.00, 90.00 degrees
Space group F-43m (No. 216)
Asymmetric unit:
P (0.000, 0.000, 0.000) [4 per cell]
Os (0.250, 0.250, 0.250) [4 per cell]

=====

Computed, not measured: a relaxed Y3Ni2 crystal at the PBE-GGA level of DFT.

Results
The energy above the lowest structure with this stoichiometry comes out at 21.3 kJ per mole of atoms. The formation energy from the elements is -95.0 meV per atom.

Cell lengths 8.152, 8.152, 3.230 Å; angles 90.00, 90.00, 90.00 degrees
Space group P4/mbm (No. 127)
Asymmetric unit:
Y (0.000, 0.000, 0.000) [2 per cell]
Y (0.137, 0.363, 0.000) [4 per cell]
Ni (0.164, 0.664, 0.500) [4 per cell]

=====

Computed, not measured: a relaxed TmInAu crystal at the PBE-GGA level of DFT.

Results
As for the total energy: -4.03 eV/atom.

Cell lengths 7.2947, 7.2947, 4.4506 Å; angles 90.00, 90.00, 120.00 degrees
Space group P-62m (No. 189)
Asymmetric unit:
Tm (0.0000, 0.5665, 0.0000) [3 per cell]
In (0.0000, 0.0000, 0.0000) [1 per cell]
In (0.3333, 0.6667, 0.5000) [2 per cell]
Au (0.0000, 0.2481, 0.5000) [3 per cell]

=====

Computed, not measured: a relaxed Ta2ReW crystal at the PBE-GGA level of DFT.

Results
The formation energy from the elements is -273.9 meV per atom.

Cell lengths 6.437, 6.437, 6.437 Å; angles 90.00, 90.00, 90.00 degrees
Space group Fm-3m (No. 225)
Asymmetric unit:
Ta (0.250, 0.250, 0.250) [8 per cell]
Re (0.000, 0.000, 0.000) [4 per cell]
W (0.000, 0.000, 0.500) [4 per cell]

=====

Computed, not measured: a relaxed Li4ErSbO6 crystal at the PBE-GGA level of DFT.

Results
As for the total energy: -6.05 eV/atom.

Cell lengths 5.399, 9.422, 5.229 Å; angles 90.00, 109.60, 90.00 degrees
Space group C2 (No. 5)
Asymmetric unit:
Li (0.000, 0.000, 0.000) [2 per cell]
Li (0.000, 0.147, 0.500) [2 per cell]
Li (0.000, 0.316, 0.000) [2 per cell]
Li (0.000, 0.622, 0.000) [2 per cell]
Er (0.000, 0.813, 0.500) [2 per cell]
Sb (0.000, 0.480, 0.500) [2 per cell]
O (0.227, 0.329, 0.739) [4 per cell]
O (0.229, 0.632, 0.740) [4 per cell]
O (0.231, 0.481, 0.268) [4 per cell]

=====

Computed, not measured: a relaxed LuGaReNi crystal at the PBE-GGA level of DFT.

Results
As for the total energy: -6.03 eV/atom.

Cell lengths 6.412, 6.412, 6.412 Å; angles 90.00, 90.00, 90.00 degrees
Space group F-43m (No. 216)
Asymmetric unit:
Lu (0.000, 0.000, 0.000) [4 per cell]
Ga (0.250, 0.250, 0.250) [4 per cell]
Re (0.250, 0.250, 0.750) [4 per cell]
Ni (0.000, 0.000, 0.500) [4 per cell]

=====

Computed, not measured: a relaxed NaAgPdSeS2 crystal at the PBE-GGA level of DFT.

Results
As for the total energy: -3.79 eV/atom.

Cell lengths 3.607, 13.926, 10.323 Å; angles 90.00, 90.00, 90.00 degrees
Space group Cmcm (No. 63)
Asymmetric unit:
Na (0.000, 0.222, 0.250) [4 per cell]
Ag (0.000, 0.100, 0.750) [4 per cell]
Pd (0.000, 0.500, 0.000) [4 per cell]
Se (0.000, 0.445, 0.750) [4 per cell]
S (0.000, 0.116, 0.518) [8 per cell]

=====

Computed, not measured: a relaxed Na3Zn8 crystal at the PBE-GGA level of DFT.

Results
As for the total energy: -1.20 eV/atom.

Cell lengths 7.984, 4.624, 10.501 Å; angles 90.00, 104.35, 90.00 degrees
Space group C2/m (No. 12)
Asymmetric unit:
Na (0.000, 0.000, 0.000) [2 per cell]
Na (0.046, 0.500, 0.639) [4 per cell]
Zn (0.092, 0.000, 0.274) [4 per cell]
Zn (0.138, 0.500, 0.913) [4 per cell]
Zn (0.178, 0.000, 0.535) [4 per cell]
Zn (0.229, 0.500, 0.185) [4 per cell]